{"formula": "BaZrGe2H", "functional": "PBE", "state": "optimized geometry", "magmom_total_mub_per_cell": 0.0, "e_tot_ev_per_cell": -22.07, "crystal_system": "tetragonal", "lattice_angstrom": [[4.695, 0.000, 0.000], [0.000, 4.695, 0.000], [0.000, 0.000, 4.602]], "species": ["Ba", "Zr", "Ge", "Ge", "H"], "frac_coords": [[0.000, 0.000, 0.000], [0.500, 0.500, 0.000], [0.000, 0.500, 0.500], [0.500, 0.000, 0.500], [0.000, 0.000, 0.500]]}